Here is Li7Mn2Co3O12 after structural relaxation from Alexandria. Energies are from PBE+U.

Geometry as POSCAR:
```
Li7Mn2Co3O12
1.0
5.803 0.000 0.000
0.053 5.890 0.000
1.434 1.575 6.155
Li Mn Co O
7 2 3 12
direct
0.000 0.000 0.000 Li
0.001 0.506 0.996 Li
0.164 0.671 0.317 Li
0.325 0.339 0.667 Li
0.493 0.003 0.994 Li
0.672 0.668 0.309 Li
0.832 0.336 0.669 Li
0.326 0.834 0.663 Mn
0.830 0.833 0.662 Mn
0.159 0.188 0.310 Co
0.497 0.507 0.990 Co
0.670 0.184 0.302 Co
0.076 0.056 0.666 O
0.082 0.616 0.657 O
0.264 0.270 0.997 O
0.267 0.748 0.971 O
0.400 0.934 0.347 O
0.417 0.424 0.306 O
0.578 0.608 0.670 O
0.580 0.062 0.646 O
0.732 0.263 0.002 O
0.740 0.747 0.970 O
0.907 0.924 0.340 O
0.915 0.400 0.340 O
```

Output
* size of the total moment: 14.00 μB per cell
* crystal system: triclinic
* E_tot: -5.874 eV/atom